# Li4AgPd2

An optimized crystal structure of Li4AgPd2 (PBE, Alexandria via LeMat-Bulk).

Energy of formation from the pure elements (meV/atom): -191.9
Total magnetization (μB/atom): 0.000

a = 7.476 Å, b = 7.476 Å, c = 7.577 Å
α = 90.00°, β = 90.00°, γ = 90.00°
Space group I-42d (No. 122)
Asymmetric unit:
Li: 0.082 0.662 0.443 [16 per cell]
Ag: 0.000 0.000 0.500 [4 per cell]
Pd: 0.140 0.750 0.125 [8 per cell]